# 1
Here is crystalline Tm5CdPd4 at its relaxed geometry from Alexandria via LeMat-Bulk. Energies are from PBE-GGA.

The space group is P4/mmm (No. 123) and the conventional cell measures 3.478, 3.478 and 17.925 Å, with angles of 90.00, 90.00 and 90.00 degrees. Symmetry generates all atoms from Tm at (0.000, 0.000, 0.000), Tm at (0.000, 0.000, 0.192), Tm at (0.000, 0.000, 0.382), Cd at (0.500, 0.500, 0.500), Pd at (0.500, 0.500, 0.096) and Pd at (0.500, 0.500, 0.291).

For the size of the total moment, the calculation gives 0.000 μB/f.u. As for the density of states at the Fermi level: 7.57 states/eV per cell. The calculation puts the formation energy at -0.811 eV per atom.

# 2
Here is crystalline CaTlSnPb2 at its relaxed geometry from Alexandria via LeMat-Bulk. Energies are from PBE-GGA.

The space group is P4/mmm (No. 123) and the conventional cell measures 5.892, 5.892 and 5.826 Å, with angles of 90.00, 90.00 and 90.00 degrees. Symmetry generates all atoms from Ca at (0.000, 0.000, 0.000), Tl at (0.500, 0.500, 0.500), Sn at (0.000, 0.000, 0.500) and Pb at (0.000, 0.500, 0.000).

For the size of the total moment, the calculation gives 0.000 μB/f.u. As for the density of states at the Fermi level: 5.82 states/eV per cell. The calculation puts the formation energy at 0.439 eV per atom.

# 3
Here is crystalline RbSc2Bi at its relaxed geometry from Alexandria via LeMat-Bulk. Energies are from PBE-GGA.

The space group is R-3m (No. 166, hexagonal axes) and the conventional cell measures 3.4946, 3.4946 and 38.6554 Å, with angles of 90.00, 90.00 and 120.00 degrees. Symmetry generates all atoms from Rb at (0.0000, 0.0000, 0.0000), Sc at (0.0000, 0.0000, 0.4235) and Bi at (0.0000, 0.0000, 0.5000).

For the size of the total moment, the calculation gives 0.953 μB/f.u. As for the density of states at the Fermi level: 21.62 states/eV per cell. The calculation puts the formation energy at 0.487 eV per atom.

# 4
Here is crystalline CsZrHS2 at its relaxed geometry from Alexandria via LeMat-Bulk. Energies are from PBE-GGA.

The space group is P4/mmm (No. 123) and the conventional cell measures 5.113, 5.113 and 4.456 Å, with angles of 90.00, 90.00 and 90.00 degrees. Symmetry generates all atoms from Cs at (0.000, 0.000, 0.000), Zr at (0.500, 0.500, 0.500), H at (0.500, 0.500, 0.000) and S at (0.000, 0.500, 0.500).

For the size of the total moment, the calculation gives 0.000 μB/f.u. The value obtained for the total energy is -5.1967 eV per atom.

# 5
Here is crystalline Ta2CrCl at its relaxed geometry from Alexandria via LeMat-Bulk. Energies are from PBE-GGA.

The space group is Pm (No. 6) and the conventional cell measures 2.932, 4.527 and 5.023 Å, with angles of 90.00, 105.44 and 90.00 degrees. Symmetry generates all atoms from Ta at (0.000, 0.000, 0.000), Ta at (0.255, 0.500, 0.737), Cr at (0.540, 0.000, 0.525) and Cl at (0.498, 0.500, 0.274).

For the size of the total moment, the calculation gives 0.000 μB/f.u. The polymorph energy (0 for the lowest one) is 168 kJ/mol of formula units. Its uncorrected formation energy is 412 meV per atom. As for the density of states at the Fermi level: 3.46 states/eV per cell.

# 6
Here is crystalline LaTb6Ho3Er2 at its relaxed geometry from Alexandria via LeMat-Bulk. Energies are from PBE-GGA.

The space group is C2/m (No. 12) and the conventional cell measures 6.164, 10.670 and 11.810 Å, with angles of 90.00, 99.98 and 90.00 degrees. Symmetry generates all atoms from La at (0.000, 0.000, 0.000), Tb at (0.248, 0.333, 0.748), Tb at (0.250, 0.000, 0.748), Ho at (0.000, 0.167, 0.500), Ho at (0.000, 0.500, 0.500) and Er at (0.000, 0.333, 0.000).

For the size of the total moment, the calculation gives 0.000 μB/f.u. As for the density of states at the Fermi level: 31.60 states/eV per cell. The calculation puts the formation energy at 0.020 eV per atom.

# 7
Here is crystalline NiAgB3 at its relaxed geometry from Alexandria via LeMat-Bulk. Energies are from PBE-GGA.

The space group is Pm-3m (No. 221) and the conventional cell measures 3.842, 3.842 and 3.842 Å, with angles of 90.00, 90.00 and 90.00 degrees. Symmetry generates all atoms from Ni at (0.000, 0.000, 0.000), Ag at (0.500, 0.500, 0.500) and B at (0.000, 0.000, 0.500).

For the size of the total moment, the calculation gives 0.000 μB/f.u. The polymorph energy (0 for the lowest one) is 0 kJ/mol of formula units. As for the density of states at the Fermi level: 1.36 states/eV per cell. The calculation puts the formation energy at 1.107 eV per atom.

# 8
Here is crystalline TaVCrRu at its relaxed geometry from Alexandria via LeMat-Bulk. Energies are from PBE-GGA.

The space group is P4mm (No. 99) and the conventional cell measures 3.045, 3.045 and 6.141 Å, with angles of 90.00, 90.00 and 90.00 degrees. Symmetry generates all atoms from Ta at (0.000, 0.000, 0.000), V at (0.000, 0.000, 0.478), Cr at (0.500, 0.500, 0.254) and Ru at (0.500, 0.500, 0.730).

For the size of the total moment, the calculation gives 0.000 μB/f.u. As for the density of states at the Fermi level: 1.90 states/eV per cell. The calculation puts the formation energy at -0.255 eV per atom.

# 9
Here is crystalline IrC at its relaxed geometry from Alexandria via LeMat-Bulk. Energies are from PBE-GGA.

The space group is P2_12_12_1 (No. 19) and the conventional cell measures 5.721, 5.808 and 6.764 Å, with angles of 90.00, 90.00 and 90.00 degrees. Symmetry generates all atoms from Ir at (0.126, 0.063, 0.284), Ir at (0.191, 0.368, 0.969), C at (0.151, 0.946, 0.561) and C at (0.178, 0.407, 0.286).

For the size of the total moment, the calculation gives 0.000 μB/f.u. The polymorph energy (0 for the lowest one) is 67 kJ/mol of formula units. As for the density of states at the Fermi level: 2.60 states/eV per cell. The calculation puts the formation energy at 0.806 eV per atom.

# 10
Here is crystalline MgPb2AuSe at its relaxed geometry from Alexandria via LeMat-Bulk. Energies are from PBE-GGA.

The space group is P4/mmm (No. 123) and the conventional cell measures 5.611, 5.611 and 4.815 Å, with angles of 90.00, 90.00 and 90.00 degrees. Symmetry generates all atoms from Mg at (0.000, 0.000, 0.000), Pb at (0.000, 0.500, 0.000), Au at (0.000, 0.000, 0.500) and Se at (0.500, 0.500, 0.500).

For the size of the total moment, the calculation gives 0.000 μB/f.u. Its uncorrected formation energy is 306 meV per atom. As for the density of states at the Fermi level: 1.64 states/eV per cell.

# 11
Here is crystalline CuSiBi2 at its relaxed geometry from Alexandria via LeMat-Bulk. Energies are from PBE-GGA.

The space group is I-42d (No. 122) and the conventional cell measures 6.292, 6.292 and 12.061 Å, with angles of 90.00, 90.00 and 90.00 degrees. Symmetry generates all atoms from Cu at (0.000, 0.000, 0.000), Si at (0.000, 0.000, 0.500) and Bi at (0.237, 0.250, 0.125).

For the size of the total moment, the calculation gives 0.000 μB/f.u. Its uncorrected formation energy is 338 meV per atom. As for the density of states at the Fermi level: 7.50 states/eV per cell.

# 12
Here is crystalline Pu2GeP at its relaxed geometry from Alexandria via LeMat-Bulk. Energies are from PBE-GGA.

The space group is P4/mmm (No. 123) and the conventional cell measures 4.624, 4.624 and 3.883 Å, with angles of 90.00, 90.00 and 90.00 degrees. Symmetry generates all atoms from Pu at (0.000, 0.500, 0.000), Ge at (0.000, 0.000, 0.500) and P at (0.500, 0.500, 0.500).

For the size of the total moment, the calculation gives 11.006 μB/f.u. The polymorph energy (0 for the lowest one) is 64 kJ/mol of formula units. As for the density of states at the Fermi level: 11.57 states/eV per cell. The calculation puts the formation energy at -0.596 eV per atom.

# 13
Here is crystalline AgSnI5 at its relaxed geometry from Alexandria via LeMat-Bulk. Energies are from PBE-GGA.

The space group is P-1 (No. 2) and the conventional cell measures 8.051, 9.501 and 11.561 Å, with angles of 110.62, 106.26 and 99.60 degrees. Symmetry generates all atoms from Ag at (0.000, 0.000, 0.000), Ag at (0.500, 0.000, 0.000), Sn at (0.103, 0.353, 0.706), I at (0.124, 0.651, 0.867), I at (0.243, 0.216, 0.867), I at (0.245, 0.817, 0.451), I at (0.296, 0.366, 0.550) and I at (0.338, 0.087, 0.176).

For the size of the total moment, the calculation gives 0.000 μB/f.u. Its uncorrected formation energy is -293 meV per atom.

# 14
Here is crystalline ScMnOs2 at its relaxed geometry from Alexandria via LeMat-Bulk. Energies are from PBE-GGA.

The space group is P4mm (No. 99) and the conventional cell measures 2.835, 2.835 and 7.751 Å, with angles of 90.00, 90.00 and 90.00 degrees. Symmetry generates all atoms from Sc at (0.000, 0.000, 0.000), Mn at (0.500, 0.500, 0.270), Os at (0.000, 0.000, 0.502) and Os at (0.500, 0.500, 0.720).

For the size of the total moment, the calculation gives 2.526 μB/f.u. As for the density of states at the Fermi level: 1.91 states/eV per cell. The calculation puts the formation energy at 0.055 eV per atom.

# 15
Here is crystalline Na3PdCl6 at its relaxed geometry from Alexandria via LeMat-Bulk. Energies are from PBE-GGA.

The space group is R-3 (No. 148, hexagonal axes) and the conventional cell measures 11.3520, 11.3520 and 13.6738 Å, with angles of 90.00, 90.00 and 120.00 degrees. Symmetry generates all atoms from Na at (0.0586, 0.2709, 0.1999), Pd at (0.0000, 0.0000, 0.0000), Pd at (0.0000, 0.0000, 0.5000), Cl at (0.0198, 0.1890, 0.4007) and Cl at (0.0431, 0.1906, 0.8946).

For the size of the total moment, the calculation gives 1.034 μB/f.u. The polymorph energy (0 for the lowest one) is 0 kJ/mol of formula units. Its uncorrected formation energy is -1209 meV per atom. As for the density of states at the Fermi level: 30.80 states/eV per cell.

# 16
Here is crystalline Pm6Nd5Tl at its relaxed geometry from Alexandria via LeMat-Bulk. Energies are from PBE-GGA.

The space group is Immm (No. 71) and the conventional cell measures 5.080, 10.270 and 15.451 Å, with angles of 90.00, 90.00 and 90.00 degrees. Symmetry generates all atoms from Pm at (0.000, 0.244, 0.000), Pm at (0.000, 0.256, 0.336), Nd at (0.000, 0.000, 0.169), Nd at (0.000, 0.000, 0.500), Nd at (0.000, 0.500, 0.163) and Tl at (0.000, 0.500, 0.500).

For the size of the total moment, the calculation gives 0.000 μB/f.u. As for the density of states at the Fermi level: 30.17 states/eV per cell. The calculation puts the formation energy at -0.037 eV per atom.

# 17
Here is crystalline GdHfAl2 at its relaxed geometry from Alexandria via LeMat-Bulk. Energies are from PBE-GGA.

The space group is P4/mmm (No. 123) and the conventional cell measures 3.161, 3.161 and 8.409 Å, with angles of 90.00, 90.00 and 90.00 degrees. Symmetry generates all atoms from Gd at (0.000, 0.000, 0.000), Hf at (0.000, 0.000, 0.500) and Al at (0.500, 0.500, 0.269).

For the size of the total moment, the calculation gives 7.178 μB/f.u. The polymorph energy (0 for the lowest one) is 0 kJ/mol of formula units. As for the density of states at the Fermi level: 2.92 states/eV per cell. The calculation puts the formation energy at -0.336 eV per atom.

# 18
Here is crystalline TlSbC3 at its relaxed geometry from Alexandria via LeMat-Bulk. Energies are from PBE-GGA.

The space group is Pm-3m (No. 221) and the conventional cell measures 4.354, 4.354 and 4.354 Å, with angles of 90.00, 90.00 and 90.00 degrees. Symmetry generates all atoms from Tl at (0.000, 0.000, 0.000), Sb at (0.500, 0.500, 0.500) and C at (0.000, 0.500, 0.500).

For the size of the total moment, the calculation gives 0.000 μB/f.u. The polymorph energy (0 for the lowest one) is 0 kJ/mol of formula units. Its uncorrected formation energy is 2738 meV per atom. As for the density of states at the Fermi level: 5.09 states/eV per cell.

# 19
Here is crystalline MgTlZnCd at its relaxed geometry from Alexandria via LeMat-Bulk. Energies are from PBE-GGA.

The space group is F-43m (No. 216) and the conventional cell measures 7.147, 7.147 and 7.147 Å, with angles of 90.00, 90.00 and 90.00 degrees. Symmetry generates all atoms from Mg at (0.000, 0.000, 0.000), Tl at (0.250, 0.250, 0.750), Zn at (0.250, 0.250, 0.250) and Cd at (0.000, 0.000, 0.500).

For the size of the total moment, the calculation gives 0.000 μB/f.u. As for the density of states at the Fermi level: 3.59 states/eV per cell. The calculation puts the formation energy at 0.079 eV per atom.

# 20
Here is crystalline NpCdRh2 at its relaxed geometry from Alexandria via LeMat-Bulk. Energies are from PBE-GGA.

The space group is R-3m (No. 166, hexagonal axes) and the conventional cell measures 3.6462, 3.6462 and 21.0402 Å, with angles of 90.00, 90.00 and 120.00 degrees. Symmetry generates all atoms from Np at (0.0000, 0.0000, 0.0000), Cd at (0.0000, 0.0000, 0.5000) and Rh at (0.0000, 0.0000, 0.2565).

For the size of the total moment, the calculation gives 2.521 μB/f.u. As for the density of states at the Fermi level: 15.32 states/eV per cell. The calculation puts the formation energy at -0.061 eV per atom.